Record 1
Material: LaFePCl2
Method: DFT, PBE-GGA
State: optimized geometry

Cell lengths 4.646, 4.646, 4.870 Å; angles 90.00, 90.00, 90.00 degrees
Space group P4/mmm (No. 123)
Unique sites:
La 0.000 0.000 0.000 [1 per cell]
Fe 0.500 0.500 0.500 [1 per cell]
P 0.500 0.500 0.000 [1 per cell]
Cl 0.000 0.500 0.500 [2 per cell]

Results
total magnetization	3.21	μB/cell
final energy	-5.32	eV/atom
density	4.69	Mg/m³
D(E_F)	3.62	states/eV per cell

***

Record 2
Material: LaFeP2Cl
Method: DFT, PBE-GGA
State: optimized geometry

Cell lengths 4.451, 4.451, 4.970 Å; angles 90.00, 90.00, 90.00 degrees
Space group P4/mmm (No. 123)
Unique sites:
La 0.000 0.000 0.000 [1 per cell]
Fe 0.500 0.500 0.500 [1 per cell]
P 0.000 0.500 0.500 [2 per cell]
Cl 0.500 0.500 0.000 [1 per cell]

Results
total magnetization	2.62	μB/cell
final energy	-5.87	eV/atom
density	4.93	Mg/m³
D(E_F)	2.24	states/eV per cell

***

Record 3
Material: LaFe2PbCl
Method: DFT, PBE-GGA
State: optimized geometry

Cell lengths 4.949, 4.949, 5.628 Å; angles 90.00, 90.00, 90.00 degrees
Space group P4/mmm (No. 123)
Unique sites:
La 0.000 0.000 0.000 [1 per cell]
Fe 0.000 0.500 0.500 [2 per cell]
Pb 0.500 0.500 0.500 [1 per cell]
Cl 0.500 0.500 0.000 [1 per cell]

Results
total magnetization	4.31	μB/cell
final energy	-4.90	eV/atom
density	5.94	Mg/m³
D(E_F)	3.86	states/eV per cell

***

Record 4
Material: RbLaZr6FeCl18
Method: DFT, PBE-GGA
State: optimized geometry

Cell lengths 9.8744, 9.8744, 18.7818 Å; angles 90.00, 90.00, 120.00 degrees
Space group P-31c (No. 163)
Unique sites:
Rb 0.3333 0.6667 0.2500 [2 per cell]
La 0.3333 0.6667 0.7500 [2 per cell]
Zr 0.0451 0.2205 0.5748 [12 per cell]
Fe 0.0000 0.0000 0.0000 [2 per cell]
Cl 0.0476 0.2343 0.3421 [12 per cell]
Cl 0.0824 0.4540 0.6642 [12 per cell]
Cl 0.1408 0.4177 0.0010 [12 per cell]

Results
total magnetization	0.00	μB/cell
final energy	-5.47	eV/atom
density	3.07	Mg/m³

***

Record 5
Material: La6FeRh2Cl3
Method: DFT, PBE-GGA
State: optimized geometry

Cell lengths 7.108, 12.325, 8.019 Å; angles 90.00, 107.08, 90.00 degrees
Space group C2/m (No. 12)
Unique sites:
La 0.227 0.160 0.203 [8 per cell]
La 0.248 0.500 0.203 [4 per cell]
Fe 0.000 0.000 0.000 [2 per cell]
Rh 0.000 0.333 0.000 [4 per cell]
Cl 0.000 0.162 0.500 [4 per cell]
Cl 0.000 0.500 0.500 [2 per cell]

Results
total magnetization	0.00	μB/cell
final energy	-5.97	eV/atom
density	5.94	Mg/m³
D(E_F)	7.21	states/eV per cell

***

Record 6
Material: LiFeCl2
Method: DFT, PBE-GGA
State: optimized geometry

Cell lengths 3.377, 6.398, 7.010 Å; angles 90.00, 90.00, 90.00 degrees
Space group Cmmm (No. 65)
Unique sites:
Li 0.000 0.000 0.000 [2 per cell]
Fe 0.000 0.000 0.500 [2 per cell]
Cl 0.000 0.500 0.245 [4 per cell]

Results
total magnetization	6.00	μB/cell
final energy	-4.15	eV/atom
density	2.93	Mg/m³
D(E_F)	4.71	states/eV per cell

***

Record 7
Material: LiFeCl
Method: DFT, PBE-GGA
State: optimized geometry

Cell lengths 5.615, 5.615, 5.615 Å; angles 90.00, 90.00, 90.00 degrees
Space group F-43m (No. 216)
Unique sites:
Li 0.000 0.000 0.000 [4 per cell]
Fe 0.000 0.000 0.500 [4 per cell]
Cl 0.250 0.250 0.250 [4 per cell]

Results
total magnetization	8.94	μB/cell
final energy	-3.92	eV/atom
density	3.69	Mg/m³
D(E_F)	8.31	states/eV per cell

***

Record 8
Material: LiFeCl2
Method: DFT, PBE-GGA
State: optimized geometry

Cell lengths 6.840, 6.841, 3.524 Å; angles 90.00, 92.28, 90.00 degrees
Space group C2/m (No. 12)
Unique sites:
Li 0.000 0.000 0.000 [2 per cell]
Fe 0.000 0.500 0.000 [2 per cell]
Cl 0.250 0.250 0.000 [4 per cell]

Results
total magnetization	6.07	μB/cell
final energy	-4.16	eV/atom
density	2.69	Mg/m³
D(E_F)	6.35	states/eV per cell

***

Record 9
Material: LiFeCl2
Method: DFT, PBE-GGA
State: optimized geometry

Cell lengths 3.237, 3.373, 12.133 Å; angles 90.00, 90.00, 90.00 degrees
Space group Imm2 (No. 44)
Unique sites:
Li 0.000 0.000 0.000 [2 per cell]
Fe 0.000 0.500 0.733 [2 per cell]
Cl 0.000 0.000 0.580 [2 per cell]
Cl 0.000 0.500 0.330 [2 per cell]

Results
total magnetization	6.00	μB/cell
final energy	-4.20	eV/atom
density	3.35	Mg/m³
D(E_F)	2.35	states/eV per cell

***

Record 10
Material: LiFeCl2
Method: DFT, PBE-GGA
State: optimized geometry

Cell lengths 3.412, 3.422, 7.704 Å; angles 90.00, 90.00, 90.00 degrees
Space group Pmmm (No. 47)
Unique sites:
Li 0.000 0.000 0.000 [1 per cell]
Fe 0.500 0.000 0.500 [1 per cell]
Cl 0.000 0.500 0.500 [1 per cell]
Cl 0.500 0.500 0.000 [1 per cell]

Results
total magnetization	3.01	μB/cell
final energy	-4.14	eV/atom
density	2.47	Mg/m³
D(E_F)	2.94	states/eV per cell

***

Record 11
Material: LiFeCl2
Method: DFT, PBE-GGA
State: optimized geometry

Cell lengths 3.592, 3.592, 5.148 Å; angles 90.00, 90.00, 90.00 degrees
Space group P4mm (No. 99)
Unique sites:
Li 0.000 0.000 0.000 [1 per cell]
Fe 0.500 0.500 0.505 [1 per cell]
Cl 0.000 0.000 0.501 [1 per cell]
Cl 0.500 0.500 0.003 [1 per cell]

Results
total magnetization	3.01	μB/cell
final energy	-4.22	eV/atom
density	3.34	Mg/m³
D(E_F)	4.01	states/eV per cell

***

Record 12
Material: LiFe3Cl
Method: DFT, PBE-GGA
State: optimized geometry

Cell lengths 4.263, 4.263, 4.263 Å; angles 90.00, 90.00, 90.00 degrees
Space group Pm-3m (No. 221)
Unique sites:
Li 0.000 0.000 0.000 [1 per cell]
Fe 0.000 0.000 0.500 [3 per cell]
Cl 0.500 0.500 0.500 [1 per cell]

Results
total magnetization	8.60	μB/cell
final energy	-4.60	eV/atom
density	4.50	Mg/m³
D(E_F)	7.65	states/eV per cell

***

> The highest total magnetization belongs to which entry?

LiFeCl

***

> Look up the final energy of the sixth one.

-4.15 eV/atom

***

> Which of these has the lowest density?

number 10